[1]
The following is a DFT calculation (PBE) of a relaxed CsGa2Ge2 crystal.

Cell: 6.2449 6.2449 6.2449 Å, 133.79 133.79 67.41°
Closest atoms and distances in Å follow each position.
Atoms (fractional coordinates):
Cs 0.0000 0.0000 0.0000  8 Ga 3.57, 10 Ge 3.71-3.86
Ga 0.2500 0.7500 0.5000  4 Ge 2.76
Ga 0.7500 0.2500 0.5000  4 Ge 2.76
Ge 0.3720 0.3720 0.0000  1 Ge 2.66, 4 Ga 2.76
Ge 0.6280 0.6280 0.0000  1 Ge 2.66, 4 Ga 2.76

Values from the calculation:
SG = I4/mmm, No. 139
ρ = 5.6 Mg/m³
Energy of formation = -0.3 eV/f.u.

=====

[2]
The following is a DFT calculation (PBE) of a relaxed Cd2GaNi2 crystal.

Cell: 6.1765 6.1765 4.2103 Å, 90.00 90.00 90.00°
Closest atoms and distances in Å follow each position.
Atoms (fractional coordinates):
Cd 0.1654 0.3346 0.0000  6 Ni 2.70-2.83, 1 Cd 2.89
Cd 0.3346 0.8346 0.0000  6 Ni 2.70-2.83, 1 Cd 2.89
Cd 0.6654 0.1654 0.0000  6 Ni 2.70-2.83, 1 Cd 2.89
Cd 0.8346 0.6654 0.0000  6 Ni 2.70-2.83, 1 Cd 2.89
Ga 0.0000 0.0000 0.5000  4 Ni 2.38
Ga 0.5000 0.5000 0.5000  4 Ni 2.38
Ni 0.1404 0.6404 0.5000  2 Ga 2.38, 1 Ni 2.45
Ni 0.3596 0.1404 0.5000  2 Ga 2.38, 1 Ni 2.45
Ni 0.6404 0.8596 0.5000  2 Ga 2.38, 1 Ni 2.45
Ni 0.8596 0.3596 0.5000  2 Ga 2.38, 1 Ni 2.45

Values from the calculation:
SG = P4/mbm, No. 127
ρ = 8.5 Mg/m³
Energy of formation = -0.5 eV/f.u.